Entry from the Alexandria database: KBaP2 after structural relaxation (GGA-PBE). Values from VASP.

Structure (Quantum ESPRESSO input):
```
&SYSTEM
  ibrav = 0, nat = 4, ntyp = 3
/
ATOMIC_SPECIES
P 30.97 P.upf
Ba 137.33 Ba.upf
K 39.10 K.upf
CELL_PARAMETERS angstrom
-1.953 2.391 0.741
-3.579 -1.605 -4.255
-3.187 -3.889 4.148
ATOMIC_POSITIONS crystal
P 0.000 0.000 0.875
P 0.500 0.500 0.375
Ba 0.000 0.000 0.375
K 0.500 0.500 0.875
```

Values from the calculation:
Energy relative to the lowest polymorph listed for this composition: 628 meV/atom
Crystal system: orthorhombic
Space group: Pmmm, No. 47